The following is a SCAN calculation of ZnHg2Pb at its PBEsol-relaxed geometry, from Alexandria via LeMat-Bulk.

a = 5.9442 Å, b = 5.9442 Å, c = 5.9442 Å
α = 146.43°, β = 126.57°, γ = 64.59°
Last column: nearest neighbours and their distance in Å.
Fractional positions:
1 Zn 0.0000 0.0000 0.0000  2 Hg 2.73, 2 Pb 2.96
2 Hg 0.2115 0.7115 0.5000  2 Zn 2.73
3 Hg 0.4776 0.4776 0.0000  6 Hg 3.18-3.56, 4 Zn 3.18, 4 Pb 3.32-3.45
4 Pb 0.7606 0.2606 0.5000  2 Zn 2.96, 4 Hg 3.21

Output
The formation energy comes out at 0.14 eV/atom. The density of states at the Fermi level is 1.41 states/eV/f.u. For the total magnetization, the calculation gives 0.00 μB per cell.

The following is a SCAN calculation of ZnHgPb2 at its PBEsol-relaxed geometry, from Alexandria via LeMat-Bulk.

a = 9.7047 Å, b = 9.7047 Å, c = 9.7047 Å
α = 20.58°, β = 20.58°, γ = 20.58°
Last column: nearest neighbours and their distance in Å.
Fractional positions:
1 Zn 0.0000 0.0000 0.0000  3 Hg 2.74, 3 Pb 3.02
2 Hg 0.2678 0.2678 0.2678  3 Zn 2.74
3 Pb 0.5119 0.5119 0.5119  3 Hg 3.24, 9 Pb 3.47
4 Pb 0.7459 0.7459 0.7459  3 Zn 3.02

Output
The energy above the most stable polymorph in this dataset is 0 meV/atom. The formation energy comes out at 0.09 eV/atom. The density of states at the Fermi level is 1.63 states/eV/f.u. For the total magnetization, the calculation gives 0.00 μB per cell.

The following is a SCAN calculation of ZnHgPb2 at its PBEsol-relaxed geometry, from Alexandria via LeMat-Bulk.

a = 3.5612 Å, b = 3.5612 Å, c = 7.7286 Å
α = 90.00°, β = 90.00°, γ = 90.00°
Last column: nearest neighbours and their distance in Å.
Fractional positions:
1 Zn 0.0000 0.0000 0.0000  4 Hg 2.87, 4 Pb 3.11
2 Hg 0.5000 0.5000 0.1785  4 Zn 2.87, 1 Pb 3.20
3 Pb 0.0000 0.0000 0.4382  4 Hg 3.22, 1 Zn 3.39, 8 Pb 3.56
4 Pb 0.5000 0.5000 0.7645  4 Zn 3.11, 1 Hg 3.20

Output
The energy above the most stable polymorph in this dataset is 15 meV/atom. The formation energy comes out at 0.11 eV/atom. The density of states at the Fermi level is 1.39 states/eV/f.u. For the total magnetization, the calculation gives 0.00 μB per cell.

The following is a SCAN calculation of ZnHg2Pb at its PBEsol-relaxed geometry, from Alexandria via LeMat-Bulk.

a = 5.9883 Å, b = 5.9883 Å, c = 5.9883 Å
α = 147.75°, β = 126.73°, γ = 63.66°
Last column: nearest neighbours and their distance in Å.
Fractional positions:
1 Zn 0.0000 0.0000 0.0000  4 Hg 2.80
2 Hg 0.2211 0.7211 0.5000  2 Zn 2.80
3 Hg 0.7789 0.2789 0.5000  2 Zn 2.80
4 Pb 0.5000 0.5000 0.0000  4 Zn 3.16, 8 Hg 3.29-3.50, 2 Pb 3.33

Output
The formation energy comes out at 0.13 eV/atom. The density of states at the Fermi level is 1.58 states/eV/f.u. For the total magnetization, the calculation gives 0.00 μB per cell.